## Hf4GaO (PBE)

Data for crystalline Hf4GaO at its relaxed geometry.

Magnetic moment ... 0.0 μB per formula unit
Formation energy (no corrections) ... -3.9 eV/f.u.
Density of states at the Fermi level ... 10.70 states/eV/cell
ρ ... 11.3 g/cm3

CIF file:
```
data_Hf4GaO
_cell_length_a 7.992
_cell_length_b 7.992
_cell_length_c 7.332
_cell_angle_alpha 90.00
_cell_angle_beta 90.00
_cell_angle_gamma 90.00
_space_group_name_H-M_alt 'I 41 m d'
_space_group_IT_number 109
_space_group_name_Hall 'I 4bw -2'
loop_
_atom_site_label
_atom_site_type_symbol
_atom_site_fract_x
_atom_site_fract_y
_atom_site_fract_z
_atom_site_occupancy
Hf1 Hf 0.000 0.290 0.000 1
Hf2 Hf 0.000 0.312 0.433 1
Ga1 Ga 0.000 0.000 0.482 1
O1 O 0.000 0.000 0.949 1
```